A plane-wave DFT calculation with PBE was carried out for a relaxed structure of AlRe2Ag.

Output
M_tot (μB per cell): 0.00
Energy of formation (eV/atom): 0.26
Symmetry: No. 166
ρ (g/cm3): 13.631

Lattice parameters (Å, degrees): 9.3962 9.3962 9.3962 16.99 16.99 16.99
Last column: nearest neighbours and their distance in Å.
Fractional positions:
Ag: 0.2500 0.2500 0.2500  6 Ag 2.78, 6 Re 2.93
Re: 0.0051 0.0051 0.0051  3 Al 2.70, 6 Re 2.78, 3 Ag 2.93
Re: 0.4949 0.4949 0.4949  3 Al 2.70, 6 Re 2.78, 3 Ag 2.93
Al: 0.7500 0.7500 0.7500  6 Re 2.70, 6 Al 2.78